Density functional theory data (PBE) for an optimized crystal structure of KHfSc.

uncorrected energy = -5.469 eV per atom
energy above the most stable polymorph in this dataset = 73 meV per atom
formation energy from the elements = 0.325 eV per atom

Geometry as CIF:
```
data_KHfSc
_chemical_formula_sum 'K2 Hf2 Sc2'
_space_group_name_H-M_alt 'P 1 m 1'
_space_group_IT_number 6
_cell_length_a 3.319
_cell_length_b 5.054
_cell_length_c 12.731
_cell_angle_alpha 90.00
_cell_angle_beta 97.37
_cell_angle_gamma 90.00
loop_
_space_group_symop_operation_xyz
'x,y,z'
'x,-y,z'
loop_
_atom_site_label
_atom_site_type_symbol
_atom_site_fract_x
_atom_site_fract_y
_atom_site_fract_z
_atom_site_occupancy
K1 K 0.000 0.000 0.000 1
K2 K 0.355 0.500 0.721 1
Hf1 Hf 0.146 0.000 0.304 1
Hf2 Hf 0.202 0.500 0.417 1
Sc1 Sc 0.602 0.500 0.214 1
Sc2 Sc 0.746 0.000 0.508 1
```